Record 1
DFT (PBE) results for a geometry-optimized TbTh2Pa structure.

Unit cell a=5.5412 b=5.5412 c=5.5412 alpha=60.00 beta=60.00 gamma=60.00
Element x y z (fractional)
Th 0.2500 0.2500 0.2500
Th 0.7500 0.7500 0.7500
Tb 0.0000 0.0000 0.0000
Pa 0.5000 0.5000 0.5000

Summary:
Offset from the most stable computed form, eV per atom: 0.191
DOS at the Fermi energy, states/eV per cell: 9.98
Energy of formation, eV/atom: 0.27

---

Record 2
DFT (PBE) results for a geometry-optimized TbThPa4 structure.

Unit cell a=6.1342 b=6.1342 c=6.1342 alpha=60.00 beta=60.00 gamma=60.00
Element x y z (fractional)
Th 0.2500 0.2500 0.2500
Pa 0.6248 0.6248 0.1255
Pa 0.1255 0.6248 0.6248
Pa 0.6248 0.1255 0.6248
Pa 0.6248 0.6248 0.6248
Tb 0.0000 0.0000 0.0000

Summary:
DOS at the Fermi energy, states/eV per cell: 13.30
Energy of formation, eV/atom: 0.16